Record 1
# Nd2Dy4Mg | Alexandria | GGA-PBE | relaxed
data_Nd2Dy4Mg
_chemical_formula_sum 'Nd4 Dy8 Mg2'
_cell_length_a 6.382
_cell_length_b 11.643
_cell_length_c 6.547
_cell_angle_alpha 90.00
_cell_angle_beta 112.80
_cell_angle_gamma 90.00
_space_group_name_H-M_alt 'P 1 21/c 1'
_space_group_IT_number 14
loop_
_space_group_symop_operation_xyz
'x,y,z'
'-x,-y,-z'
'-x,y+1/2,-z+1/2'
'x,-y+1/2,z+1/2'
loop_
_atom_site_label
_atom_site_type_symbol
_atom_site_fract_x
_atom_site_fract_y
_atom_site_fract_z
Nd1 Nd 0.175 0.000 0.302
Dy1 Dy 0.241 0.211 0.716
Dy2 Dy 0.243 0.711 0.215
Mg1 Mg 0.500 0.000 0.000
# mass density	7.1	g cm⁻³
# energy of formation from the pure elements	0.118	eV/atom
# distance to the lowest polymorph of the same formula	0.0	kJ/mol of atoms
# M_tot	0.0	μB per formula unit
# DOS at the Fermi energy	18.69	states/eV per cell

Record 2
# NiBH2 | Alexandria | GGA-PBE | relaxed
data_NiBH2
_chemical_formula_sum 'Ni4 B4 H8'
_cell_length_a 4.514
_cell_length_b 4.514
_cell_length_c 4.514
_cell_angle_alpha 90.00
_cell_angle_beta 90.00
_cell_angle_gamma 90.00
_space_group_name_H-M_alt 'F m -3 m'
_space_group_IT_number 225
_space_group_name_Hall '-F 4 2 3'
loop_
_atom_site_label
_atom_site_type_symbol
_atom_site_fract_x
_atom_site_fract_y
_atom_site_fract_z
Ni1 Ni 0.000 0.000 0.000
B1 B 0.000 0.000 0.500
H1 H 0.250 0.250 0.250
# mass density	5.2	g cm⁻³
# distance to the lowest polymorph of the same formula	36.5	kJ/mol of atoms
# M_tot	0.0	μB per formula unit
# DOS at the Fermi energy	7.18	states/eV per cell